1.
# Mo2OsCl | Alexandria | PBE-GGA | optimized geometry
data_Mo2OsCl
_chemical_formula_sum 'Mo2 Os1 Cl1'
_cell_length_a 2.833
_cell_length_b 3.383
_cell_length_c 7.110
_cell_angle_alpha 90.00
_cell_angle_beta 90.00
_cell_angle_gamma 90.00
_space_group_name_H-M_alt 'P m m m'
_space_group_IT_number 47
loop_
_space_group_symop_operation_xyz
'x,y,z'
'-x,-y,-z'
'-x,-y,z'
'x,y,-z'
'x,-y,-z'
'-x,y,z'
'-x,y,-z'
'x,-y,z'
loop_
_atom_site_label
_atom_site_fract_x
_atom_site_fract_y
_atom_site_fract_z
Mo1 0.000 0.000 0.211
Os1 0.500 0.500 0.000
Cl1 0.000 0.500 0.500
# raw formation energy	0.351	eV per atom
# DOS at the Fermi energy	0.5820	states/eV per atom
# excess energy over the best structure of this formula in the dataset	2.446	kcal/mol of atoms


2.
# Mo2OsCl | Alexandria | PBE-GGA | optimized geometry
data_Mo2OsCl
_chemical_formula_sum 'Mo4 Os2 Cl2'
_cell_length_a 2.937
_cell_length_b 4.535
_cell_length_c 8.944
_cell_angle_alpha 90.00
_cell_angle_beta 90.00
_cell_angle_gamma 90.00
_space_group_name_H-M_alt 'I m m m'
_space_group_IT_number 71
_space_group_name_Hall '-I 2 2'
loop_
_atom_site_label
_atom_site_fract_x
_atom_site_fract_y
_atom_site_fract_z
Mo1 0.000 0.000 0.229
Os1 0.000 0.500 0.000
Cl1 0.000 0.500 0.500
# raw formation energy	0.738	eV per atom
# DOS at the Fermi energy	0.7010	states/eV per atom
# excess energy over the best structure of this formula in the dataset	11.368	kcal/mol of atoms


3.
# MoOsCl2 | Alexandria | PBE-GGA | optimized geometry
data_MoOsCl2
_chemical_formula_sum 'Mo1 Os1 Cl2'
_cell_length_a 3.080
_cell_length_b 3.080
_cell_length_c 6.289
_cell_angle_alpha 90.00
_cell_angle_beta 90.00
_cell_angle_gamma 90.00
_space_group_name_H-M_alt 'P 4/m m m'
_space_group_IT_number 123
_space_group_name_Hall '-P 4 2'
loop_
_atom_site_label
_atom_site_fract_x
_atom_site_fract_y
_atom_site_fract_z
Mo1 0.000 0.000 0.000
Os1 0.000 0.000 0.500
Cl1 0.500 0.500 0.235
# raw formation energy	1.309	eV per atom
# DOS at the Fermi energy	1.1592	states/eV per atom
# excess energy over the best structure of this formula in the dataset	32.562	kcal/mol of atoms


4.
# Mo2OsCl | Alexandria | PBE-GGA | optimized geometry
data_Mo2OsCl
_chemical_formula_sum 'Mo6 Os3 Cl3'
_cell_length_a 2.8429
_cell_length_b 2.8429
_cell_length_c 29.8652
_cell_angle_alpha 90.00
_cell_angle_beta 90.00
_cell_angle_gamma 120.00
_space_group_name_H-M_alt 'R 3 m'
_space_group_IT_number 160
_space_group_name_Hall 'R 3 -2"'
loop_
_atom_site_label
_atom_site_fract_x
_atom_site_fract_y
_atom_site_fract_z
Mo1 0.0000 0.0000 0.0000
Mo2 0.0000 0.0000 0.2518
Os1 0.0000 0.0000 0.5154
Cl1 0.0000 0.0000 0.7284
# raw formation energy	0.260	eV per atom
# DOS at the Fermi energy	0.6931	states/eV per atom
# excess energy over the best structure of this formula in the dataset	0.338	kcal/mol of atoms


5.
# MoOsCl2 | Alexandria | PBE-GGA | optimized geometry
data_MoOsCl2
_chemical_formula_sum 'Mo2 Os2 Cl4'
_cell_length_a 4.983
_cell_length_b 4.983
_cell_length_c 5.144
_cell_angle_alpha 90.00
_cell_angle_beta 90.00
_cell_angle_gamma 90.00
_space_group_name_H-M_alt 'I -4 m 2'
_space_group_IT_number 119
_space_group_name_Hall 'I -4 -2'
loop_
_atom_site_label
_atom_site_fract_x
_atom_site_fract_y
_atom_site_fract_z
Mo1 0.000 0.000 0.000
Os1 0.000 0.500 0.250
Cl1 0.000 0.000 0.500
Cl2 0.000 0.500 0.750
# raw formation energy	0.904	eV per atom
# DOS at the Fermi energy	0.7427	states/eV per atom
# excess energy over the best structure of this formula in the dataset	23.227	kcal/mol of atoms


6.
# MoOsCl | Alexandria | PBE-GGA | optimized geometry
data_MoOsCl
_chemical_formula_sum 'Mo4 Os4 Cl4'
_cell_length_a 6.038
_cell_length_b 6.038
_cell_length_c 6.038
_cell_angle_alpha 90.00
_cell_angle_beta 90.00
_cell_angle_gamma 90.00
_space_group_name_H-M_alt 'F -4 3 m'
_space_group_IT_number 216
_space_group_name_Hall 'F -4 2 3'
loop_
_atom_site_label
_atom_site_fract_x
_atom_site_fract_y
_atom_site_fract_z
Mo1 0.000 0.000 0.000
Os1 0.250 0.250 0.750
Cl1 0.000 0.000 0.500
# raw formation energy	1.085	eV per atom
# DOS at the Fermi energy	1.2213	states/eV per atom
# excess energy over the best structure of this formula in the dataset	19.306	kcal/mol of atoms


7.
# MoOsCl | Alexandria | PBE-GGA | optimized geometry
data_MoOsCl
_chemical_formula_sum 'Mo2 Os2 Cl2'
_cell_length_a 2.885
_cell_length_b 3.959
_cell_length_c 8.045
_cell_angle_alpha 90.00
_cell_angle_beta 90.00
_cell_angle_gamma 90.00
_space_group_name_H-M_alt 'I m m 2'
_space_group_IT_number 44
loop_
_space_group_symop_operation_xyz
'x,y,z'
'-x,-y,z'
'-x,y,z'
'x,-y,z'
'x+1/2,y+1/2,z+1/2'
'-x+1/2,-y+1/2,z+1/2'
'-x+1/2,y+1/2,z+1/2'
'x+1/2,-y+1/2,z+1/2'
loop_
_atom_site_label
_atom_site_fract_x
_atom_site_fract_y
_atom_site_fract_z
Mo1 0.000 0.000 0.000
Os1 0.000 0.000 0.657
Cl1 0.000 0.000 0.334
# raw formation energy	0.868	eV per atom
# DOS at the Fermi energy	0.6479	states/eV per atom
# excess energy over the best structure of this formula in the dataset	14.304	kcal/mol of atoms


8.
# Mo2OsCl | Alexandria | PBE-GGA | optimized geometry
data_Mo2OsCl
_chemical_formula_sum 'Mo8 Os4 Cl4'
_cell_length_a 6.305
_cell_length_b 6.305
_cell_length_c 6.305
_cell_angle_alpha 90.00
_cell_angle_beta 90.00
_cell_angle_gamma 90.00
_space_group_name_H-M_alt 'F -4 3 m'
_space_group_IT_number 216
_space_group_name_Hall 'F -4 2 3'
loop_
_atom_site_label
_atom_site_fract_x
_atom_site_fract_y
_atom_site_fract_z
Mo1 0.000 0.000 0.000
Mo2 0.250 0.250 0.250
Os1 0.000 0.000 0.500
Cl1 0.250 0.250 0.750
# raw formation energy	1.055	eV per atom
# DOS at the Fermi energy	1.2776	states/eV per atom
# excess energy over the best structure of this formula in the dataset	18.671	kcal/mol of atoms


9.
# MoOsCl2 | Alexandria | PBE-GGA | optimized geometry
data_MoOsCl2
_chemical_formula_sum 'Mo2 Os2 Cl4'
_cell_length_a 5.990
_cell_length_b 3.435
_cell_length_c 9.268
_cell_angle_alpha 90.00
_cell_angle_beta 108.21
_cell_angle_gamma 90.00
_space_group_name_H-M_alt 'C 1 m 1'
_space_group_IT_number 8
loop_
_space_group_symop_operation_xyz
'x,y,z'
'x,-y,z'
'x+1/2,y+1/2,z'
'x+1/2,-y+1/2,z'
loop_
_atom_site_label
_atom_site_fract_x
_atom_site_fract_y
_atom_site_fract_z
Mo1 0.000 0.000 0.000
Os1 0.274 0.500 0.160
Cl1 0.270 0.000 0.791
Cl2 0.383 0.000 0.373
# raw formation energy	-0.103	eV per atom
# DOS at the Fermi energy	0.0570	states/eV per atom
# excess energy over the best structure of this formula in the dataset	0.000	kcal/mol of atoms


10.
# MoOsCl | Alexandria | PBE-GGA | optimized geometry
data_MoOsCl
_chemical_formula_sum 'Mo1 Os1 Cl1'
_cell_length_a 2.8882
_cell_length_b 2.8882
_cell_length_c 6.7690
_cell_angle_alpha 90.00
_cell_angle_beta 90.00
_cell_angle_gamma 120.00
_space_group_name_H-M_alt 'P 3 m 1'
_space_group_IT_number 156
loop_
_space_group_symop_operation_xyz
'x,y,z'
'-y,x-y,z'
'-x+y,-x,z'
'-y,-x,z'
'-x+y,y,z'
'x,x-y,z'
loop_
_atom_site_label
_atom_site_fract_x
_atom_site_fract_y
_atom_site_fract_z
Mo1 0.0000 0.0000 0.0000
Os1 0.6667 0.3333 0.3011
Cl1 0.3333 0.6667 0.7179
# raw formation energy	0.247	eV per atom
# DOS at the Fermi energy	0.4057	states/eV per atom
# excess energy over the best structure of this formula in the dataset	0.000	kcal/mol of atoms


11.
# MoOsCl2 | Alexandria | PBE-GGA | optimized geometry
data_MoOsCl2
_chemical_formula_sum 'Mo1 Os1 Cl2'
_cell_length_a 3.024
_cell_length_b 4.328
_cell_length_c 4.920
_cell_angle_alpha 90.00
_cell_angle_beta 92.98
_cell_angle_gamma 90.00
_space_group_name_H-M_alt 'P 1 2/m 1'
_space_group_IT_number 10
loop_
_space_group_symop_operation_xyz
'x,y,z'
'-x,-y,-z'
'-x,y,-z'
'x,-y,z'
loop_
_atom_site_label
_atom_site_fract_x
_atom_site_fract_y
_atom_site_fract_z
Mo1 0.000 0.000 0.000
Os1 0.500 0.000 0.500
Cl1 0.245 0.500 0.249
# raw formation energy	0.936	eV per atom
# DOS at the Fermi energy	1.3330	states/eV per atom
# excess energy over the best structure of this formula in the dataset	23.956	kcal/mol of atoms


12.
# Mo2OsCl | Alexandria | PBE-GGA | optimized geometry
data_Mo2OsCl
_chemical_formula_sum 'Mo2 Os1 Cl1'
_cell_length_a 2.912
_cell_length_b 2.912
_cell_length_c 6.999
_cell_angle_alpha 90.00
_cell_angle_beta 90.00
_cell_angle_gamma 90.00
_space_group_name_H-M_alt 'P 4/m m m'
_space_group_IT_number 123
_space_group_name_Hall '-P 4 2'
loop_
_atom_site_label
_atom_site_fract_x
_atom_site_fract_y
_atom_site_fract_z
Mo1 0.000 0.000 0.244
Os1 0.500 0.500 0.500
Cl1 0.500 0.500 0.000
# raw formation energy	0.285	eV per atom
# DOS at the Fermi energy	1.0127	states/eV per atom
# excess energy over the best structure of this formula in the dataset	0.916	kcal/mol of atoms


13.
# Mo2OsCl | Alexandria | PBE-GGA | optimized geometry
data_Mo2OsCl
_chemical_formula_sum 'Mo2 Os1 Cl1'
_cell_length_a 2.953
_cell_length_b 4.531
_cell_length_c 4.595
_cell_angle_alpha 90.00
_cell_angle_beta 90.00
_cell_angle_gamma 90.00
_space_group_name_H-M_alt 'P m m m'
_space_group_IT_number 47
loop_
_space_group_symop_operation_xyz
'x,y,z'
'-x,-y,-z'
'-x,-y,z'
'x,y,-z'
'x,-y,-z'
'-x,y,z'
'-x,y,-z'
'x,-y,z'
loop_
_atom_site_label
_atom_site_fract_x
_atom_site_fract_y
_atom_site_fract_z
Mo1 0.000 0.000 0.000
Mo2 0.500 0.500 0.000
Os1 0.000 0.500 0.500
Cl1 0.500 0.000 0.500
# raw formation energy	0.927	eV per atom
# DOS at the Fermi energy	0.8292	states/eV per atom
# excess energy over the best structure of this formula in the dataset	15.708	kcal/mol of atoms


14.
# Mo2OsCl | Alexandria | PBE-GGA | optimized geometry
data_Mo2OsCl
_chemical_formula_sum 'Mo2 Os1 Cl1'
_cell_length_a 2.840
_cell_length_b 4.151
_cell_length_c 5.470
_cell_angle_alpha 90.00
_cell_angle_beta 104.80
_cell_angle_gamma 90.00
_space_group_name_H-M_alt 'P 1 m 1'
_space_group_IT_number 6
loop_
_space_group_symop_operation_xyz
'x,y,z'
'x,-y,z'
loop_
_atom_site_label
_atom_site_fract_x
_atom_site_fract_y
_atom_site_fract_z
Mo1 0.000 0.000 0.000
Mo2 0.333 0.500 0.687
Os1 0.595 0.500 0.189
Cl1 0.217 0.000 0.458
# raw formation energy	0.535	eV per atom
# DOS at the Fermi energy	0.7262	states/eV per atom
# excess energy over the best structure of this formula in the dataset	6.672	kcal/mol of atoms


15.
# MoOsCl2 | Alexandria | PBE-GGA | optimized geometry
data_MoOsCl2
_chemical_formula_sum 'Mo4 Os4 Cl8'
_cell_length_a 6.190
_cell_length_b 6.190
_cell_length_c 6.190
_cell_angle_alpha 90.00
_cell_angle_beta 90.00
_cell_angle_gamma 90.00
_space_group_name_H-M_alt 'F m -3 m'
_space_group_IT_number 225
_space_group_name_Hall '-F 4 2 3'
loop_
_atom_site_label
_atom_site_fract_x
_atom_site_fract_y
_atom_site_fract_z
Mo1 0.000 0.000 0.000
Os1 0.000 0.000 0.500
Cl1 0.250 0.250 0.250
# raw formation energy	1.329	eV per atom
# DOS at the Fermi energy	0.9158	states/eV per atom
# excess energy over the best structure of this formula in the dataset	33.021	kcal/mol of atoms